DFT (PBE-GGA) results for a geometry-optimized Tl2AsO4 structure.

Structure (POSCAR):
```
Tl2AsO4
1.0
-2.804 -0.964 5.708
2.244 -5.594 0.158
6.812 2.778 1.589
O As Tl
8 2 4
Direct
0.056 0.750 0.927
0.924 0.250 0.698
0.944 0.250 0.073
0.401 0.979 0.177
0.599 0.479 0.823
0.076 0.750 0.302
0.401 0.521 0.177
0.599 0.021 0.823
0.228 0.750 0.143
0.772 0.250 0.857
0.283 0.250 0.927
0.199 0.250 0.403
0.717 0.750 0.073
0.801 0.750 0.597
```

- energy relative to the lowest polymorph listed for this composition (meV per atom) = 0
- N(E_F) (states/eV/cell) = 5.3
- ΔE_f (raw) (kJ/mol of formula units) = -645
- DFT total energy (eV/f.u.) = -35.9
- symmetry = P2_1/m



DFT (PBE-GGA) results for a geometry-optimized TlAsO2 structure.

Structure (POSCAR):
```
TlAsO2
1.0
-6.503 -1.641 1.681
-5.642 0.662 3.942
-6.665 1.604 0.904
Tl O As
1 2 1
Direct
0.500 0.500 0.500
0.900 0.900 0.900
0.100 0.100 0.100
0.000 0.000 0.000
```

- energy relative to the lowest polymorph listed for this composition (meV per atom) = 549
- N(E_F) (states/eV/cell) = 1.0
- ΔE_f (raw) (kJ/mol of formula units) = -190
- DFT total energy (eV/f.u.) = -18.9
- symmetry = R-3m



DFT (PBE-GGA) results for a geometry-optimized TlAsO2 structure.

Structure (POSCAR):
```
TlAsO2
1.0
1.656 2.393 6.956
4.344 0.757 6.117
3.947 3.842 5.150
As Tl O
1 1 2
Direct
0.500 0.500 0.500
0.000 0.000 0.000
0.118 0.118 0.118
0.882 0.882 0.882
```

- energy relative to the lowest polymorph listed for this composition (meV per atom) = 418
- N(E_F) (states/eV/cell) = 1.7
- ΔE_f (raw) (kJ/mol of formula units) = -240
- DFT total energy (eV/f.u.) = -19.4
- symmetry = R-3m



DFT (PBE-GGA) results for a geometry-optimized TlAs2O structure.

Structure (POSCAR):
```
TlAs2O
1.0
5.197 0.000 0.000
0.000 5.197 0.000
2.599 2.599 6.755
As O Tl
4 2 2
Direct
0.375 0.556 0.750
0.444 0.125 0.250
0.875 0.694 0.750
0.306 0.625 0.250
0.250 0.750 0.500
0.500 0.500 0.000
0.000 0.000 0.000
0.750 0.250 0.500
```

- energy relative to the lowest polymorph listed for this composition (meV per atom) = 0
- N(E_F) (states/eV/cell) = 2.0
- ΔE_f (raw) (kJ/mol of formula units) = -26
- DFT total energy (eV/f.u.) = -16.9
- symmetry = I-42d



DFT (PBE-GGA) results for a geometry-optimized Tm3TlAs4O12 structure.

Structure (POSCAR):
```
Tm3TlAs4O12
1.0
-6.493 2.509 -1.796
2.495 -2.875 -6.098
-1.429 -5.697 4.145
As Tl O Tm
4 1 12 3
Direct
0.500 0.919 0.081
0.919 0.081 0.500
0.500 0.500 0.500
0.081 0.500 0.919
0.000 0.000 0.000
0.328 0.672 0.500
0.978 0.609 0.736
0.022 0.264 0.391
0.924 0.500 0.076
0.736 0.978 0.609
0.264 0.391 0.022
0.391 0.022 0.264
0.076 0.924 0.500
0.672 0.500 0.328
0.500 0.076 0.924
0.609 0.736 0.978
0.500 0.328 0.672
0.000 0.570 0.430
0.430 0.000 0.570
0.570 0.430 0.000
```

- N(E_F) (states/eV/cell) = 4.8
- ΔE_f (raw) (kJ/mol of formula units) = -3428
- DFT total energy (eV/f.u.) = -129.4
- symmetry = R32



DFT (PBE-GGA) results for a geometry-optimized Tm2Tl2AsO6 structure.

Structure (POSCAR):
```
Tm2Tl2AsO6
1.0
5.723 -0.009 0.095
-2.836 4.971 0.095
-0.980 -1.685 6.541
O Tl Tm As
6 2 2 1
Direct
0.646 0.953 0.341
0.047 0.354 0.659
0.354 0.047 0.659
0.953 0.646 0.341
0.745 0.745 0.662
0.255 0.255 0.338
0.164 0.836 0.000
0.836 0.164 0.000
0.334 0.666 0.500
0.666 0.334 0.500
0.000 0.000 0.500
```

- N(E_F) (states/eV/cell) = 5.0
- ΔE_f (raw) (kJ/mol of formula units) = -2103
- DFT total energy (eV/f.u.) = -69.9
- symmetry = C2/m



DFT (PBE-GGA) results for a geometry-optimized TmTl2As2O6 structure.

Structure (POSCAR):
```
TmTl2As2O6
1.0
-2.823 -3.192 4.193
5.673 1.039 0.348
-4.013 5.937 1.817
O Tm As Tl
6 1 2 2
Direct
0.203 0.946 0.277
0.257 0.054 0.723
0.743 0.946 0.277
0.746 0.493 0.580
0.797 0.054 0.723
0.254 0.507 0.420
0.500 0.000 0.500
0.067 0.133 0.231
0.933 0.867 0.769
0.286 0.572 0.811
0.714 0.428 0.189
```

- N(E_F) (states/eV/cell) = 4.2
- ΔE_f (raw) (kJ/mol of formula units) = -1713
- DFT total energy (eV/f.u.) = -66.0
- symmetry = C2/m



DFT (PBE-GGA) results for a geometry-optimized UTlAsO6 structure.

Structure (POSCAR):
```
UTlAsO6
1.0
7.894 0.000 0.000
0.000 7.022 0.000
-3.947 -3.511 5.228
O U As Tl
12 2 2 2
Direct
0.454 0.668 0.244
0.454 0.075 0.244
0.546 0.925 0.756
0.790 0.075 0.244
0.438 0.688 0.877
0.210 0.925 0.756
0.546 0.332 0.756
0.562 0.312 0.123
0.790 0.668 0.244
0.210 0.332 0.756
0.824 0.074 0.648
0.176 0.926 0.352
0.000 0.000 0.500
0.500 0.000 0.500
0.500 0.500 0.000
0.500 0.000 0.000
0.820 0.570 0.640
0.180 0.430 0.360
```

- ΔE_f (raw) (kJ/mol of formula units) = -1687
- DFT total energy (eV/f.u.) = -65.5
- symmetry = Imma



What is the ΔE_f (raw) in the fourth record? -26 kJ/mol of formula units